Entry from OQMD via LeMat-Bulk: Tb2NdPb7 after structural relaxation (PBE).

symmetry	Cmmm (65)
E_tot	-0.1611	hartree per atom

Geometry as POSCAR:
```
Tb2NdPb7
1.0
-10.8587 0.1628 -7.4777
10.3443 -4.8224 6.6027
-2.6827 -0.4337 3.8862
Pb Tb Nd
7 2 1
Direct
0.4013 0.5987 0.0000 Pb
0.5987 0.4013 0.0000 Pb
0.0994 0.9006 0.5000 Pb
0.9006 0.0994 0.5000 Pb
0.2934 0.7066 0.5000 Pb
0.5000 0.5000 0.5000 Pb
0.7066 0.2934 0.5000 Pb
0.1889 0.8111 0.0000 Tb
0.8111 0.1889 0.0000 Tb
0.0000 0.0000 0.0000 Nd
```

=====

Entry from OQMD via LeMat-Bulk: TbNdPb2 after structural relaxation (PBE).

symmetry	Amm2 (38)
E_tot	-0.1738	hartree per atom

Geometry as POSCAR:
```
TbNdPb2
1.0
4.4828 0.0000 0.0000
0.0000 2.3053 5.9198
0.0000 -2.3053 5.9198
Pb Nd Tb
2 1 1
Direct
0.5000 0.0983 0.0983 Pb
0.0000 0.9014 0.9014 Pb
0.0000 0.6312 0.6312 Nd
0.5000 0.3691 0.3691 Tb
```

=====

Entry from OQMD via LeMat-Bulk: TbNdPb after structural relaxation (PBE).

symmetry	F-43m (216)
E_tot	-0.1692	hartree per atom

Geometry as POSCAR:
```
TbNdPb
1.0
0.0000 3.7215 3.7215
3.7215 0.0000 3.7215
3.7215 3.7215 0.0000
Nd Pb Tb
1 1 1
Direct
0.2500 0.2500 0.2500 Nd
0.0000 0.0000 0.0000 Pb
0.7500 0.7500 0.7500 Tb
```

=====

Entry from OQMD via LeMat-Bulk: NdTcPb after structural relaxation (PBE).

energy relative to the lowest polymorph listed for this composition	129.5	kJ/mol of formula units
symmetry	F-43m (216)
E_tot	-0.1920	hartree per atom

Geometry as POSCAR:
```
NdTcPb
1.0
0.0000 3.4870 3.4870
3.4870 0.0000 3.4870
3.4870 3.4870 0.0000
Nd Tc Pb
1 1 1
Direct
0.0000 0.0000 0.0000 Nd
0.7500 0.7500 0.7500 Tc
0.2500 0.2500 0.2500 Pb
```

=====

Entry from OQMD via LeMat-Bulk: NdTcPb after structural relaxation (PBE).

energy relative to the lowest polymorph listed for this composition	0.0	kJ/mol of formula units
symmetry	F-43m (216)
E_tot	-0.2085	hartree per atom

Geometry as POSCAR:
```
NdTcPb
1.0
0.0000 3.4436 3.4436
3.4436 0.0000 3.4436
3.4436 3.4436 0.0000
Tc Nd Pb
1 1 1
Direct
0.7500 0.7500 0.7500 Tc
0.2500 0.2500 0.2500 Nd
0.0000 0.0000 0.0000 Pb
```

=====

Entry from OQMD via LeMat-Bulk: Nd2TePb after structural relaxation (PBE).

symmetry	Pmna (53)
E_tot	-0.1890	hartree per atom

Geometry as POSCAR:
```
Nd2TePb
1.0
-1.8958 1.3015 5.9841
1.2322 -6.0548 1.7072
13.9383 2.0214 -2.8912
Nd Te Pb
8 4 4
Direct
0.1242 0.2496 0.6243 Nd
0.6258 0.2504 0.1258 Nd
0.3742 0.2504 0.3742 Nd
0.8758 0.2496 0.8757 Nd
0.1242 0.7504 0.1243 Nd
0.8758 0.7504 0.3757 Nd
0.6258 0.7496 0.6258 Nd
0.3742 0.7496 0.8742 Nd
0.6248 0.2497 0.6250 Te
0.6248 0.7503 0.1250 Te
0.3752 0.7503 0.3750 Te
0.3752 0.2497 0.8750 Te
0.1250 0.7496 0.6250 Pb
0.1250 0.2504 0.1250 Pb
0.8750 0.2504 0.3750 Pb
0.8750 0.7496 0.8750 Pb
```